Entry from Alexandria: a relaxed structure of MgPd6Au5 (GGA-PBE).

abc: 7.922 4.525 7.160
angles: 71.58 79.58 55.08
Atoms (fractional coordinates):
Mg (0.000, 0.000, 0.000)
Pd (0.752, 0.083, 0.330)
Pd (0.248, 0.587, 0.330)
Pd (0.242, 0.258, 0.000)
Pd (0.758, 0.742, 0.000)
Pd (0.752, 0.413, 0.670)
Pd (0.248, 0.917, 0.670)
Au (0.500, 0.165, 0.670)
Au (0.000, 0.332, 0.335)
Au (0.500, 0.500, 0.000)
Au (0.000, 0.668, 0.665)
Au (0.500, 0.835, 0.330)

Calculated values
crystal system = monoclinic
calculated formation energy = -2.67 eV/f.u.
uncorrected energy = -4.318 eV/atom
D(E_F) = 4.55 states/eV/f.u.